No. 1
DFT (PBE-GGA) results for an optimized crystal structure of Tb5Ga3.

Cell lengths 5.9460, 8.8116, 8.8116 Å; angles 83.46, 70.28, 70.28 degrees
Element x y z (fractional)
Ga  0.2500  0.0000  0.0000
Ga  0.7500  0.0000  0.0000
Ga  0.1592  0.5000  0.1816
Ga  0.8408  0.5000  0.8184
Ga  0.6592  0.1816  0.5000
Ga  0.3408  0.8184  0.5000
Tb  0.9145  0.8718  0.2993
Tb  0.2500  0.5000  0.5000
Tb  0.2137  0.7007  0.8718
Tb  0.5855  0.7007  0.1282
Tb  0.2863  0.1282  0.2993
Tb  0.7500  0.5000  0.5000
Tb  0.4145  0.2993  0.8718
Tb  0.0855  0.1282  0.7007
Tb  0.7863  0.2993  0.1282
Tb  0.7137  0.8718  0.7007

magnetic moment: 0.000 μB per atom
E_tot: -4.5094 eV/atom
energy relative to the lowest polymorph listed for this composition: 0.09 kcal/mol of atoms
calculated formation energy: -0.480 eV/atom


No. 2
DFT (PBE-GGA) results for an optimized crystal structure of ZnTePd3.

Cell lengths 5.5740, 7.2131, 8.9743 Å; angles 104.93, 90.00, 90.00 degrees
Element x y z (fractional)
Zn  0.6796  0.1274  0.0364
Zn  0.1796  0.8726  0.4636
Zn  0.8204  0.1274  0.5364
Zn  0.3204  0.8726  0.9636
Te  0.7484  0.6044  0.6413
Te  0.2516  0.3956  0.3587
Te  0.7516  0.6044  0.1413
Te  0.2484  0.3956  0.8587
Pd  0.4291  0.0330  0.2545
Pd  0.3759  0.2192  0.5741
Pd  0.7418  0.3485  0.8369
Pd  0.2418  0.6515  0.6631
Pd  0.8759  0.7808  0.9259
Pd  0.9291  0.9670  0.2455
Pd  0.6241  0.7808  0.4259
Pd  0.2582  0.6515  0.1631
Pd  0.7582  0.3485  0.3369
Pd  0.5709  0.9670  0.7455
Pd  0.1241  0.2192  0.0741
Pd  0.0709  0.0330  0.7545

magnetic moment: 0.000 μB per atom
E_tot: -4.3453 eV/atom
energy relative to the lowest polymorph listed for this composition: 0.00 kcal/mol of atoms
raw formation energy: -347 meV/atom